First-principles (GGA-PBE) data for SrAsPt after structural relaxation, as listed in Alexandria via LeMat-Bulk.

Calculated values
SG: F-43m

Lattice parameters (Å, degrees): 4.900 4.900 4.900 60.00 60.00 60.00
Fractional coordinates of all 3 atoms:
Pt (0.500, 0.500, 0.500)
Sr (0.750, 0.750, 0.750)
As (0.000, 0.000, 0.000)

=====

First-principles (GGA-PBE) data for Sr2As3Pt after structural relaxation, as listed in Alexandria via LeMat-Bulk.

Calculated values
SG: Fmmm

Lattice parameters (Å, degrees): 6.503 6.503 8.476 111.23 111.23 93.22
Fractional coordinates of all 12 atoms:
As (0.362, 0.810, 0.172)
As (0.810, 0.362, 0.172)
As (0.154, 0.154, 0.308)
Pt (0.323, 0.323, 0.647)
Sr (0.750, 0.250, 0.500)
As (0.190, 0.638, 0.828)
As (0.846, 0.846, 0.692)
Sr (0.246, 0.246, 0.000)
Sr (0.754, 0.754, 0.000)
Sr (0.250, 0.750, 0.500)
As (0.638, 0.190, 0.828)
Pt (0.677, 0.677, 0.353)

=====

First-principles (GGA-PBE) data for SrAsPt after structural relaxation, as listed in Alexandria via LeMat-Bulk.

Calculated values
SG: Imm2

Lattice parameters (Å, degrees): 5.313 5.313 5.313 136.75 130.21 68.04
Fractional coordinates of all 3 atoms:
Pt (0.295, 0.295, 0.000)
As (0.025, 0.025, 0.000)
Sr (0.680, 0.680, 0.000)

=====

First-principles (GGA-PBE) data for Sr2As4Pt3 after structural relaxation, as listed in Alexandria via LeMat-Bulk.

Calculated values
SG: Fmmm

Lattice parameters (Å, degrees): 6.153 6.153 7.073 101.53 101.53 122.72
Fractional coordinates of all 9 atoms:
As (0.018, 0.697, 0.715)
As (0.303, 0.982, 0.285)
As (0.982, 0.303, 0.285)
Pt (0.500, 0.000, 0.000)
Pt (0.000, 0.000, 0.000)
Sr (0.642, 0.642, 0.283)
As (0.697, 0.018, 0.715)
Sr (0.358, 0.358, 0.717)
Pt (0.000, 0.500, 0.000)

=====

First-principles (GGA-PBE) data for Sr2AsPt after structural relaxation, as listed in Alexandria via LeMat-Bulk.

Calculated values
SG: P2_1/m

Lattice parameters (Å, degrees): 4.545 5.986 8.913 112.37 90.00 90.00
Fractional coordinates of all 8 atoms:
Sr (0.250, 0.784, 0.063)
As (0.250, 0.366, 0.713)
Pt (0.250, 0.400, 0.225)
Pt (0.750, 0.600, 0.775)
Sr (0.750, 0.216, 0.937)
Sr (0.750, 0.218, 0.418)
Sr (0.250, 0.782, 0.582)
As (0.750, 0.634, 0.287)

=====

First-principles (GGA-PBE) data for Sr2AsPt after structural relaxation, as listed in Alexandria via LeMat-Bulk.

Calculated values
SG: Amm2

Lattice parameters (Å, degrees): 5.888 5.888 4.537 90.00 90.00 45.49
Fractional coordinates of all 4 atoms:
Pt (0.317, 0.317, 0.125)
Sr (0.733, 0.733, 0.625)
Sr (0.017, 0.017, 0.125)
As (0.433, 0.433, 0.625)

=====

Which formation energy belongs to each record? In order, 0.133; -0.862; -0.421; -0.687; -0.920; -0.910 eV/atom.
Which volume belongs to each record? In order, 27.73; 25.34; 25.71; 22.75; 28.03; 28.04 Å³ per atom.
Which raw total energy belongs to each record? In order, -3.9913; -4.7544; -4.5446; -5.1411; -4.4335; -4.4233 eV per atom.